[1]
First-principles (PBE) data for a relaxed structure of Li3Sm3USe8, as listed in Alexandria.

Cell: 8.3303 8.3303 19.4930 Å, 90.00 90.00 120.00°
Space group R-3m (No. 166, hexagonal axes)
Asymmetric unit:
Li 0.0000 0.5000 0.0000 [9 per cell]
Sm 0.0000 0.5000 0.5000 [9 per cell]
U 0.0000 0.0000 0.5000 [3 per cell]
Se 0.0000 0.0000 0.2525 [6 per cell]
Se 0.0101 0.5050 0.2497 [18 per cell]

Output
ρ (kg/m3): 5706
Total magnetization (μB per formula unit): 2.0
Calculated volume (Å³ per atom): 26.0
DOS at the Fermi energy (states/eV per atom): 0.374
E_form (uncorrected) (eV per formula unit): -23.3

***

[2]
First-principles (PBE) data for a relaxed structure of NaSr2SbN, as listed in Alexandria.

Cell: 5.301 5.301 4.815 Å, 90.00 90.00 90.00°
Space group P4/mmm (No. 123)
Asymmetric unit:
Na 0.000 0.000 0.000 [1 per cell]
Sr 0.000 0.500 0.500 [2 per cell]
Sb 0.500 0.500 0.000 [1 per cell]
N 0.500 0.500 0.500 [1 per cell]

Output
ρ (kg/m3): 4099
Total magnetization (μB per formula unit): 0.0
Calculated volume (Å³ per atom): 27.1
Energy above the most stable polymorph in this dataset (meV/atom): 290
DOS at the Fermi energy (states/eV per atom): 0.931
E_form (uncorrected) (eV per formula unit): -1.4

***

[3]
First-principles (PBE) data for a relaxed structure of Ce2Er3Tm6Th, as listed in Alexandria.

Cell: 6.061 10.494 11.565 Å, 90.00 100.07 90.00°
Space group C2/m (No. 12)
Asymmetric unit:
Ce 0.000 0.167 0.000 [4 per cell]
Er 0.000 0.000 0.500 [2 per cell]
Er 0.000 0.333 0.500 [4 per cell]
Tm 0.249 0.500 0.752 [4 per cell]
Tm 0.250 0.166 0.752 [8 per cell]
Th 0.000 0.500 0.000 [2 per cell]

Output
Uncorrected energy (eV for the cell shown): -118.6
ρ (kg/m3): 9298
Total magnetization (μB per formula unit): 1.1
Calculated volume (Å³ per atom): 30.2
DOS at the Fermi energy (states/eV per atom): 1.832

***

[4]
First-principles (PBE) data for a relaxed structure of ScTe3P, as listed in Alexandria.

Cell: 5.207 5.207 5.207 Å, 90.00 90.00 90.00°
Space group Pm-3m (No. 221)
Asymmetric unit:
Sc 0.000 0.000 0.000 [1 per cell]
Te 0.000 0.500 0.500 [3 per cell]
P 0.500 0.500 0.500 [1 per cell]

Output
ρ (kg/m3): 5397
Total magnetization (μB per formula unit): 0.0
Calculated volume (Å³ per atom): 28.2
Energy above the most stable polymorph in this dataset (meV/atom): 0
DOS at the Fermi energy (states/eV per atom): 0.523
E_form (uncorrected) (eV per formula unit): 0.5

***

[5]
First-principles (PBE) data for a relaxed structure of K2ErSiO4, as listed in Alexandria.

Cell: 5.591 12.441 22.755 Å, 90.00 90.00 90.00°
Space group Fddd (No. 70, origin choice 2)
Asymmetric unit:
K 0.125 0.125 0.309 [16 per cell]
Er 0.125 0.125 0.125 [8 per cell]
Si 0.125 0.125 0.625 [8 per cell]
O 0.065 0.296 0.838 [32 per cell]

Output
ρ (kg/m3): 2833
Total magnetization (μB per formula unit): 0.0
Calculated volume (Å³ per atom): 24.7
DOS at the Fermi energy (states/eV per atom): 0.239
E_form (uncorrected) (eV per formula unit): -17.5

***

[6]
First-principles (PBE) data for a relaxed structure of LuAgHgPt, as listed in Alexandria.

Cell: 6.806 6.806 6.806 Å, 90.00 90.00 90.00°
Space group F-43m (No. 216)
Asymmetric unit:
Lu 0.000 0.000 0.000 [4 per cell]
Ag 0.250 0.250 0.750 [4 per cell]
Hg 0.000 0.000 0.500 [4 per cell]
Pt 0.250 0.250 0.250 [4 per cell]

Output
Uncorrected energy (eV for the cell shown): -63.3
ρ (kg/m3): 14297
Total magnetization (μB per formula unit): 0.0
Calculated volume (Å³ per atom): 19.7
DOS at the Fermi energy (states/eV per atom): 0.453

***

[7]
First-principles (PBE) data for a relaxed structure of PrDy5Pb5, as listed in Alexandria.

Cell: 15.708 6.316 7.494 Å, 90.00 102.89 90.00°
Space group C2/m (No. 12)
Asymmetric unit:
Pr 0.000 0.000 0.000 [2 per cell]
Dy 0.000 0.000 0.500 [2 per cell]
Dy 0.154 0.500 0.341 [4 per cell]
Dy 0.169 0.500 0.845 [4 per cell]
Pb 0.000 0.500 0.000 [2 per cell]
Pb 0.169 0.000 0.346 [4 per cell]
Pb 0.171 0.000 0.810 [4 per cell]

Output
Uncorrected energy (eV for the cell shown): -98.7
ρ (kg/m3): 9116
Total magnetization (μB per formula unit): 0.7
Calculated volume (Å³ per atom): 32.9
DOS at the Fermi energy (states/eV per atom): 0.795

***

[8]
First-principles (PBE) data for a relaxed structure of Zr2AuC, as listed in Alexandria.

Cell: 3.289 17.456 4.722 Å, 90.00 90.00 90.00°
Space group Cmcm (No. 63)
Asymmetric unit:
Zr 0.000 0.104 0.250 [4 per cell]
Zr 0.000 0.289 0.250 [4 per cell]
Au 0.000 0.455 0.250 [4 per cell]
C 0.000 0.304 0.750 [4 per cell]

Output
Uncorrected energy (eV for the cell shown): -129.9
ρ (kg/m3): 9590
Total magnetization (μB per formula unit): 0.0
Calculated volume (Å³ per atom): 16.9
DOS at the Fermi energy (states/eV per atom): 0.707

***

[9]
First-principles (PBE) data for a relaxed structure of GaH2S2, as listed in Alexandria.

Cell: 6.939 6.939 3.109 Å, 90.00 90.00 90.00°
Space group P4/mbm (No. 127)
Asymmetric unit:
Ga 0.000 0.000 0.000 [2 per cell]
H 0.143 0.357 0.500 [4 per cell]
S 0.193 0.307 0.000 [4 per cell]

Output
ρ (kg/m3): 3014
Total magnetization (μB per formula unit): 0.0
Calculated volume (Å³ per atom): 15.0
Energy above the most stable polymorph in this dataset (meV/atom): 0
DOS at the Fermi energy (states/eV per atom): 0.395

***

[10]
First-principles (PBE) data for a relaxed structure of TiAu3C, as listed in Alexandria.

Cell: 4.362 4.362 4.362 Å, 90.00 90.00 90.00°
Space group Pm-3m (No. 221)
Asymmetric unit:
Ti 0.000 0.000 0.000 [1 per cell]
Au 0.000 0.500 0.500 [3 per cell]
C 0.500 0.500 0.500 [1 per cell]

Output
ρ (kg/m3): 13020
Total magnetization (μB per formula unit): 2.3
Calculated volume (Å³ per atom): 16.6
Energy above the most stable polymorph in this dataset (meV/atom): 0
DOS at the Fermi energy (states/eV per atom): 0.725

***

[11]
First-principles (PBE) data for a relaxed structure of Cu6OF11, as listed in Alexandria.

Cell: 5.689 5.895 7.177 Å, 73.49 71.63 67.64°
Space group P1 (No. 1)
Asymmetric unit:
Cu 0.000 0.000 0.000 [1 per cell]
Cu 0.012 0.010 0.490 [1 per cell]
Cu 0.305 0.385 0.156 [1 per cell]
Cu 0.332 0.348 0.660 [1 per cell]
Cu 0.675 0.675 0.824 [1 per cell]
Cu 0.694 0.681 0.316 [1 per cell]
O 0.023 0.675 0.161 [1 per cell]
F 0.086 0.112 0.202 [1 per cell]
F 0.234 0.286 0.445 [1 per cell]
F 0.334 0.728 0.476 [1 per cell]
F 0.371 0.970 0.827 [1 per cell]
F 0.405 0.456 0.865 [1 per cell]
F 0.595 0.607 0.115 [1 per cell]
F 0.615 0.102 0.143 [1 per cell]
F 0.695 0.293 0.508 [1 per cell]
F 0.772 0.751 0.531 [1 per cell]
F 0.923 0.907 0.780 [1 per cell]
F 0.973 0.362 0.826 [1 per cell]

Output
ρ (kg/m3): 4852
Total magnetization (μB per formula unit): 3.1
Calculated volume (Å³ per atom): 11.5
Energy above the most stable polymorph in this dataset (meV/atom): 0
DOS at the Fermi energy (states/eV per atom): 0.462
E_form (uncorrected) (eV per formula unit): -25.2

***

[12]
First-principles (PBE) data for a relaxed structure of MnGe2Ru, as listed in Alexandria.

Cell: 3.855 3.855 17.237 Å, 90.00 90.00 90.00°
Space group I-42d (No. 122)
Asymmetric unit:
Mn 0.000 0.000 0.000 [4 per cell]
Ge 0.246 0.250 0.125 [8 per cell]
Ru 0.000 0.000 0.500 [4 per cell]

Output
ρ (kg/m3): 7811
Total magnetization (μB per formula unit): 3.7
Calculated volume (Å³ per atom): 16.0
Energy above the most stable polymorph in this dataset (meV/atom): 271
DOS at the Fermi energy (states/eV per atom): 0.702

***

- calculated volume of number 10 (TiAu3C)?
  16.6 Å³ per atom

***

- Which value of DOS at the Fermi energy does entry 5 give?
  0.239 states/eV per atom

***

Repeat the first record exactly.
First-principles (PBE) data for a relaxed structure of Li3Sm3USe8, as listed in Alexandria.

Cell: 8.3303 8.3303 19.4930 Å, 90.00 90.00 120.00°
Space group R-3m (No. 166, hexagonal axes)
Asymmetric unit:
Li 0.0000 0.5000 0.0000 [9 per cell]
Sm 0.0000 0.5000 0.5000 [9 per cell]
U 0.0000 0.0000 0.5000 [3 per cell]
Se 0.0000 0.0000 0.2525 [6 per cell]
Se 0.0101 0.5050 0.2497 [18 per cell]

Output
ρ (kg/m3): 5706
Total magnetization (μB per formula unit): 2.0
Calculated volume (Å³ per atom): 26.0
DOS at the Fermi energy (states/eV per atom): 0.374
E_form (uncorrected) (eV per formula unit): -23.3

***

- DOS at the Fermi energy of number 5 (K2ErSiO4)?
  0.239 states/eV per atom